A crystal of Sm2Zr2O7 relaxed with PBEsol, computed with SCAN.

Output
E_form (uncorrected)   -3785.8 meV per atom
DOS(E_F)   0.00 states/eV/atom
Density   6.69 g/cm3

Geometry as CIF:
```
data_Sm2Zr2O7
_symmetry_space_group_name_H-M 'P 1 21 1'
_symmetry_Int_Tables_number 4
_cell_length_a 7.8561
_cell_length_b 5.5617
_cell_length_c 13.6649
_cell_angle_alpha 90.00
_cell_angle_beta 98.47
_cell_angle_gamma 90.00
loop_
_symmetry_equiv_pos_as_xyz
'x,y,z'
'-x,y+1/2,-z'
loop_
_atom_site_label
_atom_site_fract_x
_atom_site_fract_y
_atom_site_fract_z
_atom_site_occupancy
Sm1 0.1380 0.0000 0.0619 1
Sm2 0.2360 0.4371 0.4237 1
Sm3 0.2849 0.9095 0.6302 1
Sm4 0.3566 0.4287 0.8937 1
Zr1 0.0282 0.4267 0.6191 1
Zr2 0.0742 0.9330 0.8190 1
Zr3 0.4123 0.4423 0.1736 1
Zr4 0.4690 0.9279 0.3745 1
O1 0.0036 0.0892 0.6753 1
O2 0.0653 0.7091 0.5206 1
O3 0.0802 0.2171 0.9140 1
O4 0.1357 0.6306 0.7304 1
O5 0.1437 0.7128 0.9339 1
O6 0.1722 0.3126 0.1829 1
O7 0.2233 0.0299 0.3880 1
O8 0.2723 0.3124 0.5873 1
O9 0.3239 0.0575 0.7993 1
O10 0.3688 0.7695 0.1214 1
O11 0.4162 0.2409 0.0494 1
O12 0.4218 0.5841 0.3256 1
O13 0.4476 0.7052 0.5227 1
O14 0.4773 0.6363 0.7346 1
```